# YCdCCl2 | Alexandria via LeMat-Bulk | GGA-PBE | optimized geometry
# Volume   24.5 Å³ per atom
# Final energy   -3.61 eV per atom
# Energy relative to the elements, uncorrected   0.447 eV/atom
# Total magnetic moment   1.851 μB/f.u.
data_YCdCCl2
_symmetry_space_group_name_H-M 'P 4/m m m'
_symmetry_Int_Tables_number 123
_symmetry_space_group_name_Hall '-P 4 2'
_cell_length_a 5.425
_cell_length_b 5.425
_cell_length_c 4.158
_cell_angle_alpha 90.00
_cell_angle_beta 90.00
_cell_angle_gamma 90.00
loop_
_atom_site_label
_atom_site_fract_x
_atom_site_fract_y
_atom_site_fract_z
_atom_site_occupancy
Y1 0.000 0.000 0.000 1
Cd1 0.500 0.500 0.500 1
C1 0.500 0.500 0.000 1
Cl1 0.000 0.500 0.500 1